1.
Below is crystalline Na2DyBr6 at its relaxed geometry, with properties calculated at the PBE-GGA level.

Computed properties:
Crystal system: monoclinic
DOS(E_F) in states/eV/atom: 0.1946

Structure (POSCAR):
```
Na2DyBr6
1.0
6.2771 -2.1441 0.0000
6.2771 2.1441 0.0000
-5.8426 0.0000 11.7392
Na Dy Br
2 1 6
direct
0.1304 0.1304 0.3330 Na
0.8696 0.8696 0.6670 Na
0.5000 0.5000 0.0000 Dy
0.0980 0.0980 0.9244 Br
0.3092 0.3092 0.7856 Br
0.3950 0.3950 0.5205 Br
0.6050 0.6050 0.4795 Br
0.6908 0.6908 0.2144 Br
0.9020 0.9020 0.0756 Br
```

---

2.
Below is crystalline Na3DyBr6 at its relaxed geometry, with properties calculated at the PBE-GGA level.

Computed properties:
Crystal system: monoclinic
DOS(E_F) in states/eV/atom: 0.0000

Structure (POSCAR):
```
Na3DyBr6
1.0
7.3016 0.0000 0.0000
0.0000 7.7780 0.0000
-7.1585 0.0000 10.8842
Na Dy Br
6 2 12
direct
0.0000 0.0000 0.0000 Na
0.0000 0.5000 0.5000 Na
0.2055 0.0829 0.7339 Na
0.2055 0.4171 0.2339 Na
0.7945 0.5829 0.7661 Na
0.7945 0.9171 0.2661 Na
0.5000 0.0000 0.5000 Dy
0.5000 0.5000 0.0000 Dy
0.1212 0.1808 0.4362 Br
0.1212 0.3192 0.9362 Br
0.2471 0.6969 0.4164 Br
0.2471 0.8031 0.9164 Br
0.4065 0.0667 0.2627 Br
0.4065 0.4333 0.7627 Br
0.5935 0.5667 0.2373 Br
0.5935 0.9333 0.7373 Br
0.7529 0.1969 0.0836 Br
0.7529 0.3031 0.5836 Br
0.8788 0.6808 0.0638 Br
0.8788 0.8192 0.5638 Br
```

---

3.
Below is crystalline NaDyBr4 at its relaxed geometry, with properties calculated at the PBE-GGA level.

Computed properties:
Crystal system: monoclinic
DOS(E_F) in states/eV/atom: 0.0000

Structure (POSCAR):
```
NaDyBr4
1.0
4.3546 -8.7579 0.0000
4.3546 8.7579 0.0000
-4.1154 0.0000 5.8033
Na Dy Br
2 2 8
direct
0.0904 0.9096 0.7500 Na
0.9096 0.0904 0.2500 Na
0.4213 0.5787 0.2500 Dy
0.5787 0.4213 0.7500 Dy
0.0891 0.4496 0.2465 Br
0.2257 0.3137 0.7692 Br
0.3137 0.2257 0.2692 Br
0.4496 0.0891 0.7465 Br
0.5504 0.9109 0.2535 Br
0.6863 0.7743 0.7308 Br
0.7743 0.6863 0.2308 Br
0.9109 0.5504 0.7535 Br
```

---

4.
Below is crystalline NaDyBr4 at its relaxed geometry, with properties calculated at the PBE-GGA level.

Computed properties:
Crystal system: monoclinic
DOS(E_F) in states/eV/atom: 0.0000

Structure (POSCAR):
```
NaDyBr4
1.0
6.9888 0.0000 0.0000
0.0000 4.1949 0.0000
-0.3055 0.0000 7.5548
Na Dy Br
1 1 4
direct
0.0000 0.0000 0.0000 Na
0.0000 0.5000 0.5000 Dy
0.2141 0.5000 0.1999 Br
0.2314 0.0000 0.6508 Br
0.7686 0.0000 0.3492 Br
0.7859 0.5000 0.8001 Br
```

---

5.
Below is crystalline Na4Dy2Br9 at its relaxed geometry, with properties calculated at the PBE-GGA level.

Computed properties:
Crystal system: monoclinic

Structure (POSCAR):
```
Na4Dy2Br9
1.0
6.4863 -3.7440 0.0000
6.4863 3.7440 0.0000
-0.0052 0.0000 19.6710
Na Dy Br
8 4 18
direct
0.1664 0.1664 0.0184 Na
0.1664 0.1664 0.5184 Na
0.1662 0.1670 0.8249 Na
0.1670 0.1662 0.3249 Na
0.8330 0.8338 0.6751 Na
0.8338 0.8330 0.1751 Na
0.8336 0.8336 0.4816 Na
0.8336 0.8336 0.9816 Na
0.4994 0.5005 0.6611 Dy
0.4995 0.5006 0.8389 Dy
0.5005 0.4994 0.1611 Dy
0.5006 0.4995 0.3389 Dy
0.1633 0.5251 0.5867 Br
0.1643 0.8108 0.0867 Br
0.1882 0.4760 0.9133 Br
0.1892 0.8357 0.4133 Br
0.1903 0.4992 0.2499 Br
0.1898 0.8102 0.7500 Br
0.4749 0.8367 0.9133 Br
0.4760 0.1882 0.4133 Br
0.4992 0.1903 0.7499 Br
0.5008 0.8097 0.2501 Br
0.5240 0.8118 0.5867 Br
0.5251 0.1633 0.0867 Br
0.8102 0.1898 0.2500 Br
0.8097 0.5008 0.7501 Br
0.8108 0.1643 0.5867 Br
0.8118 0.5240 0.0867 Br
0.8357 0.1892 0.9133 Br
0.8367 0.4749 0.4133 Br
```

---

6.
Below is crystalline NaDyBr at its relaxed geometry, with properties calculated at the PBE-GGA level.

Computed properties:
Crystal system: monoclinic
DOS(E_F) in states/eV/atom: 0.7134

Structure (POSCAR):
```
NaDyBr
1.0
3.2426 -1.8713 0.0000
3.2426 1.8713 0.0000
-2.2005 0.0000 14.5319
Na Dy Br
2 2 2
direct
0.1979 0.1979 0.1003 Na
0.8021 0.8021 0.8997 Na
0.3011 0.3011 0.4052 Dy
0.6989 0.6989 0.5948 Dy
0.4166 0.4166 0.7445 Br
0.5834 0.5834 0.2555 Br
```

---

7.
Below is crystalline NaDyBr2 at its relaxed geometry, with properties calculated at the PBE-GGA level.

Computed properties:
Crystal system: trigonal
DOS(E_F) in states/eV/atom: 0.6191

Structure (POSCAR):
```
NaDyBr2
1.0
1.8882 1.0902 10.5103
-1.8882 1.0902 10.5103
0.0000 -2.1803 10.5103
Na Dy Br
1 1 2
direct
0.0000 0.0000 0.0000 Na
0.5000 0.5000 0.5000 Dy
0.1055 0.1055 0.1055 Br
0.8945 0.8945 0.8945 Br
```

---

8.
Below is crystalline NaDyPb2Br8 at its relaxed geometry, with properties calculated at the PBE-GGA level.

Computed properties:
Crystal system: monoclinic
DOS(E_F) in states/eV/atom: 0.0000

Structure (POSCAR):
```
NaDyPb2Br8
1.0
6.7908 0.0000 0.0000
0.0000 8.9112 0.0000
-0.0802 0.0000 7.1568
Na Dy Pb Br
1 1 2 8
direct
0.0000 0.0000 0.0000 Na
0.0000 0.5000 0.0000 Dy
0.5000 0.2456 0.5000 Pb
0.5000 0.7544 0.5000 Pb
0.2318 0.2665 0.1502 Br
0.2318 0.7335 0.1502 Br
0.2349 0.5000 0.6758 Br
0.2626 0.0000 0.6594 Br
0.7374 0.0000 0.3406 Br
0.7651 0.5000 0.3242 Br
0.7682 0.2665 0.8498 Br
0.7682 0.7335 0.8498 Br
```

---

9.
Below is crystalline RbNaDyBr5 at its relaxed geometry, with properties calculated at the PBE-GGA level.

Computed properties:
Crystal system: monoclinic
DOS(E_F) in states/eV/atom: 0.0000

Structure (POSCAR):
```
RbNaDyBr5
1.0
4.7058 -6.7569 0.0000
4.7058 6.7569 0.0000
-4.0177 0.0000 10.0937
Rb Na Dy Br
2 2 2 10
direct
0.1619 0.8381 0.7500 Rb
0.8381 0.1619 0.2500 Rb
0.1891 0.8109 0.2500 Na
0.8109 0.1891 0.7500 Na
0.5000 0.5000 0.0000 Dy
0.5000 0.5000 0.5000 Dy
0.1419 0.2468 0.9355 Br
0.2076 0.5927 0.4158 Br
0.2468 0.1419 0.4355 Br
0.4073 0.7924 0.0842 Br
0.4349 0.5651 0.7500 Br
0.5651 0.4349 0.2500 Br
0.5927 0.2076 0.9158 Br
0.7532 0.8581 0.5645 Br
0.7924 0.4073 0.5842 Br
0.8581 0.7532 0.0645 Br
```

---

10.
Below is crystalline NaDySnBr6 at its relaxed geometry, with properties calculated at the PBE-GGA level.

Computed properties:
Crystal system: trigonal
DOS(E_F) in states/eV/atom: 0.0000

Structure (POSCAR):
```
NaDySnBr6
1.0
7.3522 0.0000 0.0000
-3.6761 6.3672 0.0000
0.0000 0.0000 13.0536
Na Dy Sn Br
2 2 2 12
direct
0.3333 0.6667 0.2500 Na
0.6667 0.3333 0.7500 Na
0.3333 0.6667 0.7500 Dy
0.6667 0.3333 0.2500 Dy
0.0000 0.0000 0.0000 Sn
0.0000 0.0000 0.5000 Sn
0.0177 0.3533 0.6267 Br
0.0177 0.6644 0.8733 Br
0.3356 0.3533 0.8733 Br
0.3356 0.9823 0.6267 Br
0.3533 0.0177 0.1267 Br
0.3533 0.3356 0.3733 Br
0.6467 0.6644 0.6267 Br
0.6467 0.9823 0.8733 Br
0.6644 0.0177 0.3733 Br
0.6644 0.6467 0.1267 Br
0.9823 0.3356 0.1267 Br
0.9823 0.6467 0.3733 Br
```

---

11.
Below is crystalline Na2DyTlBr6 at its relaxed geometry, with properties calculated at the PBE-GGA level.

Computed properties:
Crystal system: trigonal
DOS(E_F) in states/eV/atom: 0.0000

Structure (POSCAR):
```
Na2DyTlBr6
1.0
3.8011 2.1946 6.9487
-3.8011 2.1946 6.9487
0.0000 -4.3892 6.9487
Na Dy Tl Br
2 1 1 6
direct
0.0000 0.0000 0.0000 Na
0.4853 0.4853 0.4853 Na
0.6783 0.6783 0.6783 Dy
0.1956 0.1956 0.1956 Tl
0.0602 0.4292 0.7572 Br
0.2855 0.8563 0.6340 Br
0.4292 0.7572 0.0602 Br
0.6340 0.2855 0.8563 Br
0.7572 0.0602 0.4292 Br
0.8563 0.6340 0.2855 Br
```

---

12.
Below is crystalline Dy2NbBr at its relaxed geometry, with properties calculated at the PBE-GGA level.

Computed properties:
Crystal system: trigonal
DOS(E_F) in states/eV/atom: 1.0698

Structure (POSCAR):
```
Dy2NbBr
1.0
1.7522 1.0117 9.4830
-1.7522 1.0117 9.4830
0.0000 -2.0233 9.4830
Dy Nb Br
2 1 1
direct
0.2493 0.2493 0.2493 Dy
0.7507 0.7507 0.7507 Dy
0.5000 0.5000 0.5000 Nb
0.0000 0.0000 0.0000 Br
```

---

13.
Below is crystalline NdDy2Br at its relaxed geometry, with properties calculated at the PBE-GGA level.

Computed properties:
Crystal system: trigonal
DOS(E_F) in states/eV/atom: 1.7289

Structure (POSCAR):
```
NdDy2Br
1.0
1.7511 1.0110 11.5219
-1.7511 1.0110 11.5219
0.0000 -2.0220 11.5219
Nd Dy Br
1 2 1
direct
0.0000 0.0000 0.0000 Nd
0.0985 0.0985 0.0985 Dy
0.9015 0.9015 0.9015 Dy
0.5000 0.5000 0.5000 Br
```

---

14.
Below is crystalline NdDyPtBr at its relaxed geometry, with properties calculated at the PBE-GGA level.

Computed properties:
Crystal system: trigonal
DOS(E_F) in states/eV/atom: 0.8515

Structure (POSCAR):
```
NdDyPtBr
1.0
2.0628 1.1910 7.7930
-2.0628 1.1910 7.7930
0.0000 -2.3819 7.7930
Nd Dy Pt Br
1 1 1 1
direct
0.0000 0.0000 0.0000 Nd
0.2022 0.2022 0.2022 Dy
0.5972 0.5972 0.5972 Pt
0.7706 0.7706 0.7706 Br
```

---

15.
Below is crystalline NdDyRhBr at its relaxed geometry, with properties calculated at the PBE-GGA level.

Computed properties:
Crystal system: trigonal
DOS(E_F) in states/eV/atom: 0.1007

Structure (POSCAR):
```
NdDyRhBr
1.0
2.0204 1.1665 7.8259
-2.0204 1.1665 7.8259
0.0000 -2.3330 7.8259
Nd Dy Rh Br
1 1 1 1
direct
0.0000 0.0000 0.0000 Nd
0.7955 0.7955 0.7955 Dy
0.4007 0.4007 0.4007 Rh
0.2275 0.2275 0.2275 Br
```

---

16.
Below is crystalline Dy7NiBr12 at its relaxed geometry, with properties calculated at the PBE-GGA level.

Computed properties:
Crystal system: trigonal
DOS(E_F) in states/eV/atom: 0.2389

Structure (POSCAR):
```
Dy7NiBr12
1.0
7.3863 4.2645 3.3514
-7.3863 4.2645 3.3514
0.0000 -8.5289 3.3514
Dy Ni Br
7 1 12
direct
0.0000 0.0000 0.0000 Dy
0.1900 0.3939 0.4700 Dy
0.3939 0.4700 0.1900 Dy
0.4700 0.1900 0.3939 Dy
0.5300 0.8100 0.6061 Dy
0.6061 0.5300 0.8100 Dy
0.8100 0.6061 0.5300 Dy
0.5000 0.5000 0.5000 Ni
0.0288 0.3374 0.1098 Br
0.1098 0.0288 0.3374 Br
0.1805 0.7209 0.5739 Br
0.2791 0.4261 0.8195 Br
0.3374 0.1098 0.0288 Br
0.4261 0.8195 0.2791 Br
0.5739 0.1805 0.7209 Br
0.6626 0.8902 0.9712 Br
0.7209 0.5739 0.1805 Br
0.8195 0.2791 0.4261 Br
0.8902 0.9712 0.6626 Br
0.9712 0.6626 0.8902 Br
```

---

17.
Below is crystalline RbDyNiBr6 at its relaxed geometry, with properties calculated at the PBE-GGA level.

Computed properties:
Crystal system: trigonal

Structure (POSCAR):
```
RbDyNiBr6
1.0
7.0137 0.0000 0.0000
-3.5069 6.0741 0.0000
0.0000 0.0000 7.7584
Rb Dy Ni Br
1 1 1 6
direct
0.0000 0.0000 0.0000 Rb
0.6667 0.3333 0.5000 Dy
0.3333 0.6667 0.5000 Ni
0.0239 0.3830 0.3018 Br
0.0239 0.6408 0.6982 Br
0.3592 0.3830 0.6982 Br
0.3592 0.9761 0.3018 Br
0.6170 0.6408 0.3018 Br
0.6170 0.9761 0.6982 Br
```

---

18.
Below is crystalline DyBrO at its relaxed geometry, with properties calculated at the PBE-GGA level.

Computed properties:
Crystal system: monoclinic
DOS(E_F) in states/eV/atom: 0.0000

Structure (POSCAR):
```
DyBrO
1.0
3.2269 -1.8628 0.0000
3.2269 1.8628 0.0000
-2.1624 0.0000 10.9019
Dy Br O
2 2 2
direct
0.0000 0.0000 0.0000 Dy
0.4998 0.4998 0.4953 Dy
0.1032 0.1032 0.3066 Br
0.2698 0.2698 0.8104 Br
0.6816 0.6816 0.0445 O
0.8479 0.8479 0.5394 O
```

---

19.
Below is crystalline Dy2Br2O at its relaxed geometry, with properties calculated at the PBE-GGA level.

Computed properties:
Crystal system: tetragonal
DOS(E_F) in states/eV/atom: 0.4515

Structure (POSCAR):
```
Dy2Br2O
1.0
4.1406 0.0000 0.0000
0.0000 4.1406 0.0000
0.0000 0.0000 13.6656
Dy Br O
2 2 1
direct
0.0000 0.0000 0.1503 Dy
0.0000 0.0000 0.8497 Dy
0.0000 0.0000 0.3417 Br
0.0000 0.0000 0.6583 Br
0.0000 0.0000 0.0000 O
```

---

20.
Below is crystalline DyBr3O6 at its relaxed geometry, with properties calculated at the PBE-GGA level.

Computed properties:
Crystal system: monoclinic
DOS(E_F) in states/eV/atom: 0.0000

Structure (POSCAR):
```
DyBr3O6
1.0
5.4044 0.0000 0.0000
0.0000 6.3797 0.0000
-0.9097 0.0000 11.5770
Dy Br O
2 6 12
direct
0.0000 0.1059 0.2500 Dy
0.0000 0.8941 0.7500 Dy
0.1966 0.2974 0.9683 Br
0.1966 0.7026 0.4683 Br
0.5000 0.4863 0.7500 Br
0.5000 0.5137 0.2500 Br
0.8034 0.2974 0.5317 Br
0.8034 0.7026 0.0317 Br
0.1847 0.1261 0.0841 O
0.1847 0.8739 0.5841 O
0.2342 0.1506 0.8427 O
0.2342 0.8494 0.3427 O
0.2829 0.3538 0.3138 O
0.2829 0.6462 0.8138 O
0.7171 0.3538 0.1862 O
0.7171 0.6462 0.6862 O
0.7658 0.1506 0.6573 O
0.7658 0.8494 0.1573 O
0.8153 0.1261 0.4159 O
0.8153 0.8739 0.9159 O
```

---

For each record above, in turn, the calculated energy relative to the elements, uncorrected values are -138.3, -161.7, -167.5, -170.2, -157.5, -79.4, -110.5, -127.9, -170.1, -136.6, -149.4, -27.3, -23.8, -118.9, -103.0, -150.6, -127.4, -264.7, -112.9, -62.2 kJ/mol of atoms.
For each record above, in turn, the calculated E_tot values are -30.2, -70.7, -46.1, -23.2, -108.0, -20.1, -13.8, -42.6, -58.7, -65.4, -35.1, -22.1, -16.6, -22.0, -22.7, -89.3, -33.3, -38.9, -23.4, -91.6 eV per cell.